No. 1
An optimized crystal structure of RbCaGeCl5. Source: Alexandria via LeMat-Bulk, functional GGA-PBE.

a = 7.5437 Å, b = 7.5437 Å, c = 10.9282 Å
α = 109.56°, β = 109.56°, γ = 97.51°
Positions (direct):
Cl 0.3357 0.8866 0.5757
Cl 0.9738 0.0262 0.7500
Cl 0.6063 0.7761 0.8977
Cl 0.3937 0.2239 0.1023
Cl 0.2239 0.3937 0.6023
Cl 0.0262 0.9738 0.2500
Cl 0.6643 0.1134 0.4243
Cl 0.7761 0.6063 0.3977
Cl 0.8866 0.3357 0.0757
Cl 0.1134 0.6643 0.9243
Rb 0.3258 0.6742 0.2500
Rb 0.6742 0.3258 0.7500
Ge 0.2668 0.7332 0.7500
Ge 0.7332 0.2668 0.2500
Ca 0.0000 0.0000 0.5000
Ca 0.0000 0.0000 0.0000

Values from the calculation:
Formation energy (no corrections) (kJ per mole of atoms): -162.2
Total moment (μB/f.u.): 0.00


No. 2
An optimized crystal structure of NaLiSi2Cl. Source: Alexandria via LeMat-Bulk, functional GGA-PBE.

a = 4.2084 Å, b = 7.2352 Å, c = 4.2084 Å
α = 90.00°, β = 90.00°, γ = 90.00°
Positions (direct):
Si 0.0000 0.0000 0.5000
Si 0.5000 0.0000 0.0000
Cl 0.5000 0.5000 0.5000
Na 0.0000 0.5000 0.0000
Li 0.0000 0.0000 0.0000

Values from the calculation:
Formation energy (no corrections) (kJ per mole of atoms): 22.1
Total moment (μB/f.u.): 0.00


No. 3
An optimized crystal structure of Nd5Dy3Ho3. Source: Alexandria via LeMat-Bulk, functional GGA-PBE.

a = 3.4763 Å, b = 11.2215 Å, c = 11.2215 Å
α = 120.00°, β = 90.00°, γ = 90.00°
Positions (direct):
Ho 0.5000 0.0000 0.3422
Ho 0.5000 0.3422 0.0000
Ho 0.5000 0.6578 0.6578
Nd 0.5000 0.8378 0.0000
Nd 0.5000 0.3333 0.6667
Nd 0.5000 0.6667 0.3333
Nd 0.5000 0.0000 0.8378
Nd 0.5000 0.1622 0.1622
Dy 0.0000 0.4063 0.4063
Dy 0.0000 0.5937 0.0000
Dy 0.0000 0.0000 0.5937

Values from the calculation:
Calculated formation energy (eV per atom): 0.339
Energy above the most stable polymorph in this dataset (kJ per mole of atoms): 2.2
Total moment (μB/f.u.): 0.01


No. 4
An optimized crystal structure of Dy4Y2Tm3. Source: Alexandria via LeMat-Bulk, functional GGA-PBE.

a = 6.1197 Å, b = 11.1756 Å, c = 11.1756 Å
α = 62.15°, β = 61.56°, γ = 61.56°
Positions (direct):
Dy 0.0801 0.8114 0.0956
Dy 0.0834 0.1415 0.4301
Dy 0.5834 0.4301 0.1415
Dy 0.4166 0.5699 0.8585
Dy 0.9166 0.8585 0.5699
Dy 0.9199 0.1886 0.9044
Dy 0.4199 0.9044 0.1886
Dy 0.5801 0.0956 0.8114
Tm 0.7511 0.0704 0.2623
Tm 0.7500 0.4014 0.5986
Tm 0.7489 0.7377 0.9296
Tm 0.2489 0.9296 0.7377
Tm 0.2500 0.5986 0.4014
Tm 0.2511 0.2623 0.0704
Y 0.5784 0.7620 0.4790
Y 0.0784 0.4790 0.7620
Y 0.4216 0.2380 0.5210
Y 0.9216 0.5210 0.2380

Values from the calculation:
Calculated formation energy (eV per atom): 0.099
Total moment (μB/f.u.): 0.00


No. 5
An optimized crystal structure of Pa3SnN. Source: Alexandria via LeMat-Bulk, functional GGA-PBE.

a = 4.7653 Å, b = 4.7653 Å, c = 4.7653 Å
α = 90.00°, β = 90.00°, γ = 90.00°
Positions (direct):
Pa 0.5000 0.0000 0.0000
Pa 0.0000 0.0000 0.5000
Pa 0.0000 0.5000 0.0000
Sn 0.5000 0.5000 0.5000
N 0.0000 0.0000 0.0000

Values from the calculation:
Formation energy (no corrections) (kJ per mole of atoms): -71.9
Total moment (μB/f.u.): 0.00


No. 6
An optimized crystal structure of PtSN2O. Source: Alexandria via LeMat-Bulk, functional GGA-PBE.

a = 3.8857 Å, b = 3.8857 Å, c = 4.0252 Å
α = 90.00°, β = 90.00°, γ = 90.00°
Positions (direct):
O 0.0000 0.0000 0.5000
N 0.5000 0.0000 0.0000
N 0.0000 0.5000 0.0000
S 0.5000 0.5000 0.5000
Pt 0.0000 0.0000 0.0000

Values from the calculation:
Formation energy (no corrections) (kJ per mole of atoms): 156.4
Total moment (μB/f.u.): 0.00


The highest total moment belongs to which entry? Nd5Dy3Ho3